# 1
Cs3LiZr, optimized geometry, DFT PBE-GGA; calculated volume = 78.948 Å³ per atom; energy relative to the elements = 1.00 eV per atom; density = 2.09 g cm⁻³; offset from the most stable computed form = 0.000 eV per atom; crystal system = cubic; E = -0.1179 Ry/atom
1.0
-0.423 -5.630 4.683
7.178 0.610 1.382
-1.450 4.662 5.474
Zr Li Cs
1 1 3
direct
0.000 0.000 0.000 Zr
0.500 0.500 0.500 Li
0.000 0.500 0.000 Cs
0.500 0.000 0.000 Cs
0.000 0.000 0.500 Cs

***

# 2
ZnHgOs2, optimized geometry, DFT PBE-GGA; calculated volume = 15.984 Å³ per atom; energy relative to the elements = 0.86 eV per atom; density = 16.79 g cm⁻³; offset from the most stable computed form = 0.582 eV per atom; crystal system = tetragonal; E = -0.3784 Ry/atom
1.0
5.099 0.002 0.000
2.189 4.606 0.000
-3.644 -2.304 2.723
Zn Hg Os
1 1 2
direct
0.250 0.750 0.500 Zn
0.750 0.250 0.500 Hg
0.500 0.500 0.000 Os
0.000 0.000 0.000 Os

***

Please write out number 1 again, unchanged.
Cs3LiZr, optimized geometry, DFT PBE-GGA; calculated volume = 78.948 Å³ per atom; energy relative to the elements = 1.00 eV per atom; density = 2.09 g cm⁻³; offset from the most stable computed form = 0.000 eV per atom; crystal system = cubic; E = -0.1179 Ry/atom
1.0
-0.423 -5.630 4.683
7.178 0.610 1.382
-1.450 4.662 5.474
Zr Li Cs
1 1 3
direct
0.000 0.000 0.000 Zr
0.500 0.500 0.500 Li
0.000 0.500 0.000 Cs
0.500 0.000 0.000 Cs
0.000 0.000 0.500 Cs

***

Q: Which of these has the highest calculated volume?
A: Cs3LiZr

***

Q: Which formula does entry 1 have?
A: Cs3LiZr